A geometry-optimized Pr3Mg2Cd structure, computed with PBE.

a = 3.914 Å, b = 5.501 Å, c = 8.713 Å
α = 108.40°, β = 90.00°, γ = 90.00°
Atoms (fractional coordinates):
1 Pr 0.500 0.500 0.000
2 Pr 0.500 0.835 0.669
3 Pr 0.500 0.165 0.331
4 Mg 0.000 0.330 0.660
5 Mg 0.000 0.670 0.340
6 Cd 0.000 0.000 0.000

Summary:
Energy relative to the elements in meV per atom: -186
SG: Cmmm, No. 65

A geometry-optimized PrMg2Cd structure, computed with PBE.

a = 5.179 Å, b = 5.179 Å, c = 5.179 Å
α = 60.00°, β = 60.00°, γ = 60.00°
Atoms (fractional coordinates):
1 Pr 0.000 0.000 0.000
2 Mg 0.250 0.250 0.250
3 Mg 0.750 0.750 0.750
4 Cd 0.500 0.500 0.500

Summary:
Energy relative to the elements in meV per atom: -187
SG: Fm-3m, No. 225

A geometry-optimized Pr6Mg5Cd structure, computed with PBE.

a = 5.518 Å, b = 7.833 Å, c = 8.729 Å
α = 90.00°, β = 71.57°, γ = 90.00°
Atoms (fractional coordinates):
1 Pr 0.834 0.749 0.332
2 Pr 0.834 0.251 0.332
3 Pr 0.500 0.249 0.000
4 Pr 0.500 0.751 0.000
5 Pr 0.166 0.749 0.668
6 Pr 0.166 0.251 0.668
7 Mg 0.667 0.500 0.666
8 Mg 0.330 0.000 0.339
9 Mg 0.000 0.500 0.000
10 Mg 0.670 0.000 0.661
11 Mg 0.333 0.500 0.334
12 Cd 0.000 0.000 0.000

Summary:
Energy relative to the elements in meV per atom: -151
SG: Cmmm, No. 65

A geometry-optimized PrMg2Cd structure, computed with PBE.

a = 4.905 Å, b = 4.654 Å, c = 4.654 Å
α = 90.00°, β = 90.00°, γ = 90.00°
Atoms (fractional coordinates):
1 Pr 0.500 0.000 0.000
2 Mg 0.000 0.000 0.500
3 Mg 0.000 0.500 0.000
4 Cd 0.500 0.500 0.500

Summary:
Energy relative to the elements in meV per atom: -160
SG: P4/mmm, No. 123

A geometry-optimized PrMg2Cd structure, computed with PBE.

a = 3.267 Å, b = 3.267 Å, c = 11.744 Å
α = 82.01°, β = 82.01°, γ = 60.00°
Atoms (fractional coordinates):
1 Pr 0.000 0.000 0.000
2 Mg 0.095 0.095 0.715
3 Mg 0.905 0.905 0.285
4 Cd 0.500 0.500 0.500

Summary:
Energy relative to the elements in meV per atom: 147
SG: R-3m, No. 166

A geometry-optimized Pr3Mg4Cd2 structure, computed with PBE.

a = 5.232 Å, b = 6.245 Å, c = 9.694 Å
α = 119.32°, β = 90.00°, γ = 114.77°
Atoms (fractional coordinates):
1 Pr 0.664 0.328 0.668
2 Pr 0.000 0.000 0.000
3 Pr 0.336 0.672 0.332
4 Mg 0.716 0.431 0.052
5 Mg 0.284 0.569 0.948
6 Mg 0.935 0.870 0.605
7 Mg 0.065 0.130 0.395
8 Cd 0.611 0.222 0.277
9 Cd 0.389 0.778 0.723

Summary:
Energy relative to the elements in meV per atom: -204
SG: C2/m, No. 12

> Among the records above, which one has the highest energy relative to the elements?

number 5

> The lowest energy relative to the elements belongs to which entry?

Pr3Mg4Cd2